No. 1
Below is a crystal of TaTcAs2 relaxed with PBEsol, with properties calculated at the meta-GGA SCAN level.

Unit cell a=3.2073 b=3.9736 c=5.0206 alpha=90.00 beta=90.00 gamma=90.00
Fractional coordinates of all 4 atoms:
As 0.0000 0.0000 0.0000
As 0.5000 0.0000 0.5000
Tc 0.0000 0.5000 0.5000
Ta 0.5000 0.5000 0.0000

Results
Raw total energy ... -35.294 eV/atom

---

No. 2
Below is a crystal of TaTcAs2 relaxed with PBEsol, with properties calculated at the meta-GGA SCAN level.

Unit cell a=4.4797 b=4.4797 c=4.4797 alpha=60.00 beta=60.00 gamma=60.00
Fractional coordinates of all 4 atoms:
As 0.0000 0.0000 0.0000
As 0.7500 0.7500 0.7500
Tc 0.2500 0.2500 0.2500
Ta 0.5000 0.5000 0.5000

Results
Raw total energy ... -35.280 eV/atom

---

No. 3
Below is a crystal of TaTcAs relaxed with PBEsol, with properties calculated at the meta-GGA SCAN level.

Unit cell a=3.0261 b=3.0261 c=5.4350 alpha=106.16 beta=106.16 gamma=90.00
Fractional coordinates of all 3 atoms:
As 0.9827 0.9827 0.9655
Tc 0.3515 0.3515 0.7030
Ta 0.6658 0.6658 0.3315

Results
Raw total energy ... -40.791 eV/atom

---

No. 4
Below is a crystal of TaTi2As2 relaxed with PBEsol, with properties calculated at the meta-GGA SCAN level.

Unit cell a=3.3799 b=6.8259 c=6.8259 alpha=90.00 beta=90.00 gamma=90.00
Fractional coordinates of all 10 atoms:
As 0.0000 0.3545 0.8545
As 0.0000 0.8545 0.6455
As 0.0000 0.6455 0.1455
As 0.0000 0.1455 0.3545
Ti 0.5000 0.1525 0.6525
Ti 0.5000 0.6525 0.8475
Ti 0.5000 0.8475 0.3475
Ti 0.5000 0.3475 0.1525
Ta 0.0000 0.0000 0.0000
Ta 0.0000 0.5000 0.5000

Results
Raw total energy ... -28.569 eV/atom

---

No. 5
Below is a crystal of TaTlAs relaxed with PBEsol, with properties calculated at the meta-GGA SCAN level.

Unit cell a=3.2013 b=3.2013 c=6.8074 alpha=90.00 beta=90.00 gamma=120.00
Fractional coordinates of all 3 atoms:
Tl 0.6667 0.3333 0.3406
As 0.0000 0.0000 0.9639
Ta 0.3333 0.6667 0.6956

Results
Raw total energy ... -52.798 eV/atom

---

No. 6
Below is a crystal of Ta2TlAs relaxed with PBEsol, with properties calculated at the meta-GGA SCAN level.

Unit cell a=2.9046 b=2.9046 c=10.3270 alpha=90.00 beta=90.00 gamma=106.84
Fractional coordinates of all 4 atoms:
Tl 0.0000 0.0000 0.5286
As 0.5000 0.5000 0.1896
Ta 0.0000 0.0000 0.9972
Ta 0.5000 0.5000 0.7846

Results
Raw total energy ... -56.323 eV/atom

---

No. 7
Below is a crystal of Ta2TlAs relaxed with PBEsol, with properties calculated at the meta-GGA SCAN level.

Unit cell a=3.0333 b=3.0333 c=8.6221 alpha=90.00 beta=90.00 gamma=111.31
Fractional coordinates of all 4 atoms:
Tl 0.5000 0.5000 0.5000
As 0.5000 0.5000 0.0000
Ta 0.0000 0.0000 0.2217
Ta 0.0000 0.0000 0.7783

Results
Raw total energy ... -56.176 eV/atom

---

No. 8
Below is a crystal of Ta2TlAs relaxed with PBEsol, with properties calculated at the meta-GGA SCAN level.

Unit cell a=2.8482 b=2.8482 c=10.3383 alpha=90.00 beta=90.00 gamma=90.00
Fractional coordinates of all 4 atoms:
Tl 0.0000 0.0000 0.4720
As 0.5000 0.5000 0.8082
Ta 0.0000 0.0000 0.0020
Ta 0.5000 0.5000 0.2178

Results
Raw total energy ... -56.214 eV/atom

---

No. 9
Below is a crystal of TaAsW2 relaxed with PBEsol, with properties calculated at the meta-GGA SCAN level.

Unit cell a=3.7146 b=3.7146 c=4.6593 alpha=90.00 beta=90.00 gamma=90.00
Fractional coordinates of all 4 atoms:
As 0.5000 0.5000 0.5000
W 0.0000 0.5000 0.0000
W 0.5000 0.0000 0.0000
Ta 0.0000 0.0000 0.5000

Results
Raw total energy ... -56.238 eV/atom

---

No. 10
Below is a crystal of TaAsW2 relaxed with PBEsol, with properties calculated at the meta-GGA SCAN level.

Unit cell a=3.2620 b=3.2620 c=6.0185 alpha=90.00 beta=90.00 gamma=90.00
Fractional coordinates of all 4 atoms:
As 0.0000 0.0000 0.5022
W 0.0000 0.0000 0.0187
W 0.5000 0.5000 0.2452
Ta 0.5000 0.5000 0.7339

Results
Raw total energy ... -56.373 eV/atom

---

No. 11
Below is a crystal of Ta2AsW relaxed with PBEsol, with properties calculated at the meta-GGA SCAN level.

Unit cell a=3.3797 b=4.5374 c=5.1084 alpha=116.23 beta=109.32 gamma=90.00
Fractional coordinates of all 4 atoms:
As 0.5000 0.0000 0.0000
W 0.0000 0.5000 0.0000
Ta 0.2495 0.2493 0.4990
Ta 0.7505 0.7507 0.5010

Results
Raw total energy ... -55.751 eV/atom

---

No. 12
Below is a crystal of TaAsW relaxed with PBEsol, with properties calculated at the meta-GGA SCAN level.

Unit cell a=2.9953 b=2.9953 c=6.3164 alpha=90.00 beta=90.00 gamma=120.00
Fractional coordinates of all 3 atoms:
As 0.0000 0.0000 0.0109
W 0.3333 0.6667 0.3113
Ta 0.6667 0.3333 0.6778

Results
Raw total energy ... -51.838 eV/atom